No. 1
The following is a DFT calculation (PBE-GGA) of a geometry-optimized YTlZn3 structure.

```
5
Lattice="-3.942 -2.650 -1.782 2.672 -1.187 -4.145 1.748 -4.160 2.318" Properties=species:S:1:pos:R:3 pbc="T T T"
Y 0.240 -3.998 -1.805
Tl 0.000 0.000 0.000
Zn 1.336 -0.593 -2.073
Zn 0.874 -2.080 1.159
Zn -1.971 -1.325 -0.891
```

Calculated values
DFT formation energy (eV per atom): 0.483
Space-group type: No. 221

---

No. 2
The following is a DFT calculation (PBE-GGA) of a geometry-optimized Y2TlZn structure.

```
8
Lattice="-3.346 6.983 2.084 -6.253 -1.574 -4.766 -6.429 1.131 1.316" Properties=species:S:1:pos:R:3 pbc="T T T"
Y -4.402 4.286 0.987
Y -6.012 0.335 -2.341
Y -8.568 2.839 -0.131
Y -13.075 5.617 -1.248
Tl 0.000 0.000 0.000
Tl -7.287 5.409 1.029
Zn -4.800 2.704 -1.341
Zn -8.741 1.130 -2.396
```

Calculated values
DFT formation energy (eV per atom): -0.043
Space-group type: No. 122

---

No. 3
The following is a DFT calculation (PBE-GGA) of a geometry-optimized Y2TlZn3 structure.

```
6
Lattice="-1.886 -1.407 2.899 -0.279 -4.011 -2.128 7.986 0.432 3.000" Properties=species:S:1:pos:R:3 pbc="T T T"
Y 1.916 -0.632 0.940
Y 4.014 -2.338 3.881
Tl 6.225 -4.104 2.057
Zn 1.674 -3.618 1.738
Zn -0.425 -2.926 0.708
Zn 3.919 -3.344 0.926
```

Calculated values
DFT formation energy (eV per atom): -0.272
Space-group type: No. 44

---

No. 4
The following is a DFT calculation (PBE-GGA) of a geometry-optimized Y2TlZn structure.

```
4
Lattice="3.679 -0.010 0.000 0.010 3.679 0.000 0.000 0.000 7.422" Properties=species:S:1:pos:R:3 pbc="T T T"
Y 0.000 0.000 0.150
Y 0.000 0.000 3.561
Tl 1.844 1.834 5.566
Zn 1.844 1.834 1.855
```

Calculated values
DFT formation energy (eV per atom): -0.380
Space-group type: No. 123

---

No. 5
The following is a DFT calculation (PBE-GGA) of a geometry-optimized Y4TlZn structure.

```
6
Lattice="5.054 0.000 -0.001 0.000 5.054 -0.002 0.004 0.006 7.283" Properties=species:S:1:pos:R:3 pbc="T T T"
Y 2.534 5.041 1.911
Y 2.536 5.046 5.339
Y 0.010 2.519 5.341
Y 0.007 2.514 1.913
Tl 2.537 2.519 7.267
Zn 0.008 5.043 3.625
```

Calculated values
DFT formation energy (eV per atom): -0.036
Space-group type: No. 123

---

No. 6
The following is a DFT calculation (PBE-GGA) of a geometry-optimized Y11Tl9Zn4 structure.

```
24
Lattice="3.798 0.000 0.000 0.000 12.238 -5.178 0.000 0.048 13.289" Properties=species:S:1:pos:R:3 pbc="T T T"
Y 0.000 7.211 9.270
Y 0.000 5.075 -1.160
Y 0.000 11.358 2.988
Y 0.000 0.928 5.123
Y 0.000 7.776 1.581
Y 0.000 4.510 6.529
Y 0.000 10.238 -2.148
Y 0.000 2.048 10.258
Y 0.000 0.000 0.000
Y 0.000 8.640 5.703
Y 0.000 3.646 2.407
Tl 1.899 7.705 -1.283
Tl 1.899 4.581 9.393
Tl 1.899 1.848 7.589
Tl 1.899 10.437 0.521
Tl 1.899 9.662 8.382
Tl 1.899 2.624 -0.272
Tl 1.899 11.505 5.590
Tl 1.899 0.781 2.520
Tl 1.899 6.143 4.055
Zn 1.899 6.755 7.041
Zn 1.899 5.530 1.070
Zn 1.899 9.129 3.445
Zn 1.899 3.157 4.665
```

Calculated values
DFT formation energy (eV per atom): -0.352
Space-group type: No. 65

---

No. 7
The following is a DFT calculation (PBE-GGA) of a geometry-optimized Y2TlZn3 structure.

```
12
Lattice="-5.310 2.209 -1.015 1.732 -1.899 -5.244 -1.452 -7.258 4.631" Properties=species:S:1:pos:R:3 pbc="T T T"
Y -0.755 -4.501 -1.871
Y -2.705 0.234 -4.731
Y -4.276 -2.447 0.243
Y -0.873 0.076 -1.527
Tl -2.862 -2.196 -2.632
Tl -2.168 -4.752 1.005
Zn -0.488 -2.043 -3.982
Zn -0.904 -7.028 0.169
Zn -4.542 -4.905 2.354
Zn -4.127 0.080 -1.796
Zn -1.043 -2.285 0.483
Zn -3.988 -4.663 -2.111
```

Calculated values
DFT formation energy (eV per atom): -0.358
Space-group type: No. 69

---

No. 8
The following is a DFT calculation (PBE-GGA) of a geometry-optimized Y4TlZn structure.

```
6
Lattice="-1.944 -4.959 3.413 -0.153 0.370 6.313 -5.553 0.221 3.021" Properties=species:S:1:pos:R:3 pbc="T T T"
Y -2.944 -1.451 7.939
Y -3.841 -4.119 6.487
Y -5.648 -1.526 6.291
Y -2.867 -1.637 4.778
Tl 0.000 0.000 0.000
Zn -5.738 -3.275 9.560
```

Calculated values
DFT formation energy (eV per atom): 0.367
Space-group type: No. 216

---

No. 9
The following is a DFT calculation (PBE-GGA) of a geometry-optimized Y3TlZn2 structure.

```
6
Lattice="-3.562 0.247 0.532 0.058 -3.111 1.831 1.820 5.655 9.552" Properties=species:S:1:pos:R:3 pbc="T T T"
Y 0.000 0.000 0.000
Y 1.250 3.884 6.560
Y 0.570 1.771 2.992
Tl -0.842 1.396 5.958
Zn -0.211 3.356 9.269
Zn -1.473 -0.565 2.646
```

Calculated values
DFT formation energy (eV per atom): -0.371
Space-group type: No. 123

---

No. 10
The following is a DFT calculation (PBE-GGA) of a geometry-optimized Y2TlZn2 structure.

```
10
Lattice="-0.179 -2.924 -6.746 4.256 -5.544 2.290 -3.518 -2.258 1.072" Properties=species:S:1:pos:R:3 pbc="T T T"
Y 1.067 -5.352 0.917
Y 1.647 -7.686 -2.096
Y -0.509 -5.373 -4.301
Y -1.089 -3.040 -1.288
Tl 0.000 0.000 0.000
Tl 2.038 -4.234 -2.228
Zn 3.667 -5.969 -0.537
Zn 2.492 -6.017 -4.495
Zn 0.410 -2.499 -3.919
Zn 1.585 -2.451 0.039
```

Calculated values
DFT formation energy (eV per atom): -0.364
Space-group type: No. 127

---

No. 11
The following is a DFT calculation (PBE-GGA) of a geometry-optimized Y6TlZn2 structure.

```
18
Lattice="-6.045 6.188 0.411 1.475 -2.288 -8.221 -2.573 -7.152 4.150" Properties=species:S:1:pos:R:3 pbc="T T T"
Y -4.295 -4.153 -2.340
Y -2.848 0.901 -1.320
Y -2.252 -5.897 1.152
Y -4.891 2.644 -4.812
Y -5.114 -0.796 -3.621
Y -2.030 -2.457 -0.039
Y -2.602 -7.379 -2.162
Y -4.541 4.126 -1.498
Y -5.463 -1.395 -0.093
Y -1.680 -1.858 -3.567
Y -2.082 -5.310 -5.056
Y -5.061 2.057 1.396
Tl -0.549 -4.720 -2.036
Tl 0.000 0.000 0.000
Zn -4.723 -4.042 0.745
Zn -2.420 0.790 -4.405
Zn -5.493 -0.615 2.907
Zn -3.125 -0.350 1.654
```

Calculated values
DFT formation energy (eV per atom): -0.254
Space-group type: No. 71

---

No. 12
The following is a DFT calculation (PBE-GGA) of a geometry-optimized Y2TlZn structure.

```
4
Lattice="6.322 0.042 0.057 5.234 3.545 0.057 1.979 0.614 4.616" Properties=species:S:1:pos:R:3 pbc="T T T"
Tl 3.079 0.956 1.327
Y 11.550 3.586 0.117
Y 10.331 3.207 3.464
Zn 6.898 2.141 2.303
```

Calculated values
DFT formation energy (eV per atom): -0.279
Space-group type: No. 44

---

Q: What is the formula in the ninth record?
A: Y3TlZn2

---

Q: Among the records above, which one has the highest DFT formation energy?
A: YTlZn3

---

Q: Which value of DFT formation energy does entry 8 give?
A: 0.367 eV per atom